A relaxed Ca6Bi2P crystal. Source: the Alexandria database, functional PBE.

Its space group is P2_1/c, No. 14. The spin magnetization is 1.790 Bohr magnetons per cell. The formation energy from the elements comes out at -766.4 meV/atom. The value obtained for the volume is 33.95 Å³/atom.

Structure (extended XYZ):
```
18
Lattice="-7.134 -0.311 -1.047 0.776 -7.506 -3.057 -1.155 -4.001 9.529" Properties=species:S:1:pos:R:3 pbc="T T T"
P -0.577 -2.000 4.765
P -3.179 -3.909 -2.052
Ca -1.710 -6.307 -2.364
Ca -5.802 -5.511 7.789
Ca -5.998 -8.552 -1.625
Ca -4.158 -4.770 0.398
Ca -6.398 -9.188 6.096
Ca -3.354 -7.048 5.027
Ca -1.115 -2.630 -0.671
Ca -1.576 -4.153 3.223
Ca -1.515 -3.266 7.050
Ca -5.361 -3.799 3.972
Ca -5.937 -7.665 2.202
Ca -2.152 -8.019 1.453
Bi -0.081 -5.439 0.579
Bi -3.539 -1.794 1.594
Bi -7.432 -6.379 4.846
Bi -3.974 -10.024 3.831
```